Entry from Alexandria: crystalline Tc2PbF at its relaxed geometry (GGA-PBE).

Structure (POSCAR):
```
Tc2PbF
1.0
0.0000 3.2330 3.2330
3.2330 0.0000 3.2330
3.2330 3.2330 0.0000
Tc Pb F
2 1 1
Cartesian
1.6165 1.6165 1.6165 Tc
4.8495 4.8495 4.8495 Tc
3.2330 3.2330 3.2330 Pb
0.0000 0.0000 0.0000 F
```

Computed properties:
Raw formation energy (meV per atom): 598.0
DFT total energy (eV/atom): -5.98
Theoretical density (Mg/m³): 10.37
DOS(E_F) (states/eV/f.u.): 5.42
Symmetry: Fm-3m

=====

Entry from Alexandria: crystalline Tc2PbF at its relaxed geometry (GGA-PBE).

Structure (POSCAR):
```
Tc2PbF
1.0
3.5425 0.0000 0.0000
0.0000 3.5425 0.0000
1.7713 1.7713 11.6347
Pb F Tc
2 2 4
Cartesian
0.0000 0.0000 0.0000 Pb
3.5425 1.7713 5.8174 Pb
1.7713 3.5425 5.8174 F
1.7713 1.7713 0.0000 F
0.8968 0.8856 2.9087 Tc
2.6569 4.4170 8.7260 Tc
2.6457 2.6569 2.9087 Tc
4.4281 2.6681 8.7260 Tc
```

Computed properties:
Raw formation energy (meV per atom): 140.2
DFT total energy (eV/atom): -6.44
Theoretical density (Mg/m³): 9.60
DOS(E_F) (states/eV/f.u.): 4.11
Symmetry: I-42d

=====

Entry from Alexandria: crystalline Tc2PbF8 at its relaxed geometry (GGA-PBE).

Structure (POSCAR):
```
Tc2PbF8
1.0
-3.5481 -2.7597 0.9499
3.9660 -3.2679 5.6559
-3.3854 5.5079 0.4373
Pb F Tc
1 8 2
Cartesian
-3.3854 5.5079 0.4373 Pb
-3.9416 0.9667 3.3916 F
-1.6404 0.8148 1.6310 F
-0.9908 1.5325 4.2848 F
-1.9767 -2.0521 2.7584 F
0.1160 -3.7501 5.6356 F
-1.3271 -1.3345 5.4120 F
-3.0834 3.2304 1.4076 F
0.9742 -1.4865 3.6515 F
-2.0710 2.3233 2.8380 Tc
-0.8964 -2.8430 4.2051 Tc
```

Computed properties:
Raw formation energy (meV per atom): -1919.1
DFT total energy (eV/atom): -5.50
Theoretical density (Mg/m³): 5.02
DOS(E_F) (states/eV/f.u.): 1.18
Symmetry: P-1

=====

Entry from Alexandria: crystalline TcPbF6 at its relaxed geometry (GGA-PBE).

Structure (POSCAR):
```
TcPbF6
1.0
-0.7565 -5.1591 -2.3135
4.4382 -1.5698 -3.2216
3.2867 -4.1927 2.2291
F Pb Tc
6 1 1
Cartesian
1.6803 -5.5152 -2.4401 F
3.9402 -3.9537 -2.8352 F
5.2882 -5.4063 -0.8659 F
3.0283 -6.9678 -0.4708 F
4.0811 -6.6838 -3.0725 F
2.8873 -4.2377 -0.2335 F
0.0000 0.0000 0.0000 Pb
3.4842 -5.4608 -1.6530 Tc
```

Computed properties:
Raw formation energy (meV per atom): -2262.6
DFT total energy (eV/atom): -5.43
Theoretical density (Mg/m³): 4.65
DOS(E_F) (states/eV/f.u.): 0.00
Symmetry: C2/m